(1)
The following is a PBE calculation of an optimized crystal structure of Si2RuAu, from Alexandria.

Computed properties:
Total magnetic moment in μB/f.u.: 0.000
ΔE_f (raw) in eV per atom: 0.10

Cell lengths 3.7149, 3.7149, 8.4386 Å; angles 90.00, 90.00, 90.00 degrees
Space group I-4m2 (No. 119)
Asymmetric unit:
1 Si 0.0000 0.0000 0.0000 x2
2 Si 0.0000 0.5000 0.2500 x2
3 Ru 0.0000 0.0000 0.5000 x2
4 Au 0.0000 0.5000 0.7500 x2

---

(2)
The following is a PBE calculation of an optimized crystal structure of TlPAu, from Alexandria.

Computed properties:
Formation energy in meV/atom: 212
Total magnetic moment in μB/f.u.: 0.000

Cell lengths 4.9103, 4.9368, 12.0106 Å; angles 90.00, 90.00, 90.00 degrees
Space group Fmm2 (No. 42)
Asymmetric unit:
1 Tl 0.0000 0.0000 0.0000 x4
2 P 0.0000 0.0000 0.7218 x4
3 Au 0.0000 0.0000 0.2699 x4

---

Polymorph energy (0 for the lowest one), record by record: 300, 276 meV per atom